(1)
{"formula": "Sb2MoOs", "functional": "GGA-PBEsol", "state": "relaxed", "cell": [[-1.8358, 2.1419, -1.3003], [2.6862, -1.8601, -3.1462], [-4.2060, -3.5496, 0.0910]], "species": ["Mo", "Os", "Sb", "Sb"], "frac_coords": [[0.0000, 0.0000, 0.5000], [0.5000, 0.0000, 0.0000], [0.7516, 0.5032, 0.7513], [0.2484, 0.4968, 0.2487]], "total_magnetization_mub_per_fu": 0.00, "e_above_lowest_polymorph_mev_per_atom": 0, "e_form_raw_kj_per_mol_atoms": 44.6}

(2)
{"formula": "Sb2MoOs", "functional": "GGA-PBEsol", "state": "relaxed", "cell": [[-2.0167, -2.3038, -0.1484], [2.0101, -1.5393, -3.4181], [3.4385, -2.9609, 3.3555]], "species": ["Mo", "Os", "Sb", "Sb"], "frac_coords": [[0.5000, 0.5000, 0.0000], [0.0000, 0.5000, 0.5000], [0.8238, 0.0000, 0.7544], [0.1762, 0.0000, 0.2456]], "total_magnetization_mub_per_fu": 0.00, "e_above_lowest_polymorph_mev_per_atom": 266, "e_form_raw_kj_per_mol_atoms": 70.3}

(3)
{"formula": "ScMoOs", "functional": "GGA-PBEsol", "state": "relaxed", "cell": [[3.0964, 0.0000, 0.0000], [0.0000, 3.0964, 0.0000], [-1.5482, -1.5482, 5.0178]], "species": ["Mo", "Os", "Sc"], "frac_coords": [[0.0116, 0.0116, 0.0232], [0.6577, 0.6577, 0.3155], [0.3307, 0.3307, 0.6614]], "total_magnetization_mub_per_fu": 0.00, "formation_enthalpy_0k_ev_per_atom": -0.15, "e_above_lowest_polymorph_mev_per_atom": 0}

(4)
{"formula": "ScMoOs", "functional": "GGA-PBEsol", "state": "relaxed", "cell": [[-3.9548, 0.6578, -1.4476], [-3.3127, -0.2237, 2.6729], [-2.1052, 3.5436, 1.0861]], "species": ["Mo", "Os", "Sc"], "frac_coords": [[0.2500, 0.2500, 0.2500], [0.0000, 0.0000, 0.0000], [0.5000, 0.5000, 0.5000]], "total_magnetization_mub_per_fu": 0.00, "formation_enthalpy_0k_ev_per_atom": 0.45, "e_above_lowest_polymorph_mev_per_atom": 596}